The following is a PBE calculation of HgGeTe2 after structural relaxation, from the Alexandria database.

a = 11.3029 Å, b = 11.3029 Å, c = 11.3029 Å
α = 19.68°, β = 19.68°, γ = 19.68°
Last column: nearest neighbours and their distance in Å.
Fractional coordinates of all 4 atoms:
Ge (0.5000, 0.5000, 0.5000)  6 Te 2.82
Te (0.8854, 0.8854, 0.8854)  3 Ge 2.82
Te (0.1146, 0.1146, 0.1146)  3 Ge 2.82
Hg (0.0000, 0.0000, 0.0000)  2 Te 3.81, 6 Hg 3.86

Summary:
DFT total energy = -2.719 eV/atom
E_form (uncorrected) = 81.8 meV/atom
magnetic moment = 0.00 μB per formula unit
polymorph energy (0 for the lowest one) = 140 meV per atom